{
  "formula": "AgBi2IrO6",
  "functional": "PBE",
  "state": "optimized geometry",
  "crystal_system": "trigonal",
  "sg": "R3 (146)",
  "n_ef_per_ev_cell": 3.16,
  "energy_ev_per_fu": -57.709,
  "density_g_cm3": 9.0,
  "cell": [[2.9108, 1.6805, 5.0942], [-2.9108, 1.6805, 5.0942], [0.0000, -3.3611, 5.0942]],
  "species": ["Ag", "Bi", "Bi", "Ir", "O", "O", "O", "O", "O", "O"],
  "frac_coords": [[0.0000, 0.0000, 0.0000], [0.2420, 0.2420, 0.2420], [0.7639, 0.7639, 0.7639], [0.4469, 0.4469, 0.4469], [0.0891, 0.6222, 0.3803], [0.2072, 0.5392, 0.7980], [0.3803, 0.0891, 0.6222], [0.5392, 0.7980, 0.2072], [0.6222, 0.3803, 0.0891], [0.7980, 0.2072, 0.5392]]
}

***

{
  "formula": "MoAsAu",
  "functional": "PBE",
  "state": "optimized geometry",
  "crystal_system": "tetragonal",
  "sg": "I4mm (107)",
  "delta_e_f_ev_per_atom": 0.177,
  "n_ef_per_ev_cell": 3.60,
  "energy_ev_per_fu": -18.228,
  "density_g_cm3": 11.9,
  "polymorph_energy_mev_per_atom": 0.0,
  "cell": [[3.1954, 0.0000, 0.0000], [0.0000, 3.1954, 0.0000], [0.0000, 0.0000, 10.0241]],
  "species": ["Mo", "Mo", "As", "As", "Au", "Au"],
  "frac_coords": [[0.0000, 0.0000, 0.0000], [0.5000, 0.5000, 0.5000], [0.0000, 0.0000, 0.3765], [0.5000, 0.5000, 0.8765], [0.0000, 0.0000, 0.6877], [0.5000, 0.5000, 0.1877]]
}